A geometry-optimized TiNb2GaOs structure. Source: the Alexandria database, functional PBE-GGA.

a = 4.7119 Å, b = 4.7119 Å, c = 4.5018 Å
α = 90.00°, β = 90.00°, γ = 90.00°
Fractional coordinates of all 5 atoms:
Ti 0.0000 0.0000 0.0000
Nb 0.0000 0.5000 0.5000
Nb 0.5000 0.0000 0.5000
Ga 0.5000 0.5000 0.5000
Os 0.5000 0.5000 0.0000

Properties
Space-group type: P4/mmm
DOS(E_F), states/eV/atom: 1.3046
Calculated formation energy, eV/atom: 1.108